# 1
Ac6FeNi PBE relaxed; E = -4.85 eV/atom; total magnetization = 0.000 μB/atom; crystal system = trigonal; calculated volume = 302.9 Å³/cell
1.0
3.578 2.066 6.829
-3.578 2.066 6.829
0.000 -4.132 6.829
Ac Fe Ni
6 1 1
Direct
0.085 0.755 0.406
0.245 0.594 0.915
0.406 0.085 0.755
0.594 0.915 0.245
0.755 0.406 0.085
0.915 0.245 0.594
0.000 0.000 0.000
0.500 0.500 0.500


# 2
Ac2Fe2Ni15 PBE relaxed; E = -6.02 eV/atom; total magnetization = 0.612 μB/atom; crystal system = trigonal; calculated volume = 257.8 Å³/cell
1.0
4.249 2.453 4.122
-4.249 2.453 4.122
0.000 -4.907 4.122
Ac Fe Ni
2 2 15
Direct
0.156 0.156 0.156
0.844 0.844 0.844
0.407 0.407 0.407
0.593 0.593 0.593
0.000 0.500 0.500
0.162 0.162 0.648
0.162 0.648 0.162
0.215 0.500 0.785
0.215 0.785 0.500
0.352 0.838 0.838
0.500 0.000 0.500
0.500 0.215 0.785
0.500 0.500 0.000
0.500 0.785 0.215
0.648 0.162 0.162
0.785 0.215 0.500
0.785 0.500 0.215
0.838 0.352 0.838
0.838 0.838 0.352


| no. | formation energy from the elements (meV/atom) |
| --- | --- |
| 1 | 11 |
| 2 | -133 |